KSr2Pb | the Alexandria database | PBE | optimized geometry; ΔH_f (0 K) = -13.4 kJ/mol of atoms; magnetization = 0.00 Bohr magnetons per cell; density = 3.53 g/cm3
1.0
2.144 1.238 12.456
-2.144 1.238 12.456
0.000 -2.476 12.456
K Sr Pb
1 2 1
direct
0.000 0.000 0.000
0.230 0.230 0.230
0.770 0.770 0.770
0.500 0.500 0.500